CsKNa2 PBE-GGA relaxed; DFT total energy = -18.0 eV for the cell shown; size of the total moment = 0.00 μB per cell; space-group type = No. 62
1.0
10.592 0.000 0.000
0.000 6.352 0.000
0.000 0.000 14.943
Cs K Na
4 4 8
direct
0.209 0.250 0.177 Cs
0.291 0.750 0.677 Cs
0.709 0.250 0.323 Cs
0.791 0.750 0.823 Cs
0.042 0.750 0.392 K
0.458 0.250 0.892 K
0.542 0.750 0.108 K
0.958 0.250 0.608 K
0.072 0.250 0.884 Na
0.197 0.750 0.964 Na
0.303 0.250 0.464 Na
0.428 0.750 0.384 Na
0.572 0.250 0.616 Na
0.697 0.750 0.536 Na
0.803 0.250 0.036 Na
0.928 0.750 0.116 Na